Record 1
! TaSb2Pb (PBE, optimized geometry); values from VASP
&SYSTEM
  ibrav = 0, nat = 4, ntyp = 3
/
ATOMIC_SPECIES
Sb 121.76 Sb.upf
Ta 180.95 Ta.upf
Pb 207.20 Pb.upf
ATOMIC_POSITIONS angstrom
Sb -3.6154 -5.5211 -10.3608
Sb -2.1397 -3.2675 -6.1317
Ta -3.4203 -1.5241 -1.8584
Pb -0.6916 -2.8542 -2.1017
CELL_PARAMETERS angstrom
-4.6470 -1.5994 -5.2541
0.8103 -4.2597 -5.7409
-0.2752 1.4808 7.0349
! Mass density   9.877 g/cm³
! Raw formation energy   0.329 eV/atom
! Fermi-level density of states   2.81 states/eV/f.u.


Record 2
! Ta3SbPb (PBE, optimized geometry); values from VASP
&SYSTEM
  ibrav = 0, nat = 5, ntyp = 3
/
ATOMIC_SPECIES
Ta 180.95 Ta.upf
Sb 121.76 Sb.upf
Pb 207.20 Pb.upf
ATOMIC_POSITIONS angstrom
Ta -1.2138 -1.6841 -1.4512
Ta 0.5729 -1.8346 1.6498
Ta -2.1481 0.4624 1.2600
Sb 0.0000 0.0000 0.0000
Pb -2.7890 -3.0563 1.4586
CELL_PARAMETERS angstrom
-2.4276 -3.3683 -2.9025
1.1458 -3.6691 3.2996
-4.2961 0.9247 2.5201
! Mass density   11.136 g/cm³
! Raw formation energy   1.721 eV/atom
! Excess energy over the best structure of this formula in the dataset   0.0 kJ per mole of atoms
! Fermi-level density of states   9.20 states/eV/f.u.